No. 1
Compound: Cr3GeSb
Source: Alexandria
Functional: PBE-GGA
Structure: optimized geometry

Summary:
- formation energy from raw total energies (eV per atom) = 0.6940
- distance to the lowest polymorph of the same formula (meV/atom) = 0
- Fermi-level density of states (states/eV/f.u.) = 2.397
- VASP energy (eV/atom) = -6.828

Cell: 4.737 4.737 4.737 Å, 90.00 90.00 90.00°
Atoms (fractional coordinates):
Ge 0.000 0.000 0.000
Sb 0.500 0.500 0.500
Cr 0.000 0.500 0.000
Cr 0.500 0.000 0.000
Cr 0.000 0.000 0.500



No. 2
Compound: CrReOs2
Source: Alexandria
Functional: PBE-GGA
Structure: optimized geometry

Summary:
- distance to the lowest polymorph of the same formula (meV/atom) = 0
- Fermi-level density of states (states/eV/f.u.) = 5.007
- VASP energy (eV/atom) = -11.058
- DFT formation energy (eV/atom) = 0.075

Cell: 4.671 4.671 4.671 Å, 131.54 131.54 70.96°
Atoms (fractional coordinates):
Os 0.500 0.500 0.000
Os 0.000 0.000 0.000
Cr 0.750 0.250 0.500
Re 0.250 0.750 0.500



No. 3
Compound: Na3LiTl2
Source: Alexandria
Functional: PBE-GGA
Structure: optimized geometry

Summary:
- distance to the lowest polymorph of the same formula (meV/atom) = 14
- Fermi-level density of states (states/eV/f.u.) = 2.404
- VASP energy (eV/atom) = -1.850
- DFT formation energy (eV/atom) = -0.083

Cell: 3.179 5.362 9.298 Å, 90.00 90.00 90.00°
Atoms (fractional coordinates):
Na 0.500 0.000 0.175
Na 0.500 0.000 0.834
Na 0.500 0.500 0.656
Li 0.500 0.500 0.331
Tl 0.000 0.000 0.491
Tl 0.000 0.500 0.013



No. 4
Compound: KTl2SiS4
Source: Alexandria
Functional: PBE-GGA
Structure: optimized geometry

Summary:
- formation energy from raw total energies (eV per atom) = -0.3677
- Fermi-level density of states (states/eV/f.u.) = 3.039
- VASP energy (eV/atom) = -3.838

Cell: 8.320 8.320 8.542 Å, 120.89 120.89 93.43°
Atoms (fractional coordinates):
S 0.250 0.250 0.057
S 0.189 0.821 0.005
S 0.321 0.689 0.505
S 0.250 0.250 0.443
S 0.679 0.311 0.495
S 0.811 0.179 0.995
S 0.750 0.750 0.557
S 0.750 0.750 0.943
K 0.000 0.500 0.000
K 0.000 0.500 0.500
Tl 0.500 0.500 0.000
Tl 0.000 0.000 0.500
Tl 0.500 0.000 0.500
Tl 0.500 0.000 0.000
Si 0.500 0.500 0.500
Si 0.000 0.000 0.000



No. 5
Compound: Mn2CuAsH
Source: Alexandria
Functional: PBE-GGA
Structure: optimized geometry

Summary:
- distance to the lowest polymorph of the same formula (meV/atom) = 0
- Fermi-level density of states (states/eV/f.u.) = 2.112
- VASP energy (eV/atom) = -6.045

Cell: 3.756 3.756 3.879 Å, 90.00 90.00 90.00°
Atoms (fractional coordinates):
H 0.000 0.000 0.000
Cu 0.000 0.000 0.500
Mn 0.500 0.000 0.000
Mn 0.000 0.500 0.000
As 0.500 0.500 0.500



No. 6
Compound: LaMn10Si2
Source: Alexandria
Functional: PBE-GGA
Structure: optimized geometry

Summary:
- formation energy from raw total energies (eV per atom) = -0.1190
- Fermi-level density of states (states/eV/f.u.) = 14.190
- VASP energy (eV/atom) = -8.386

Cell: 6.422 6.422 8.127 Å, 90.00 90.00 98.89°
Atoms (fractional coordinates):
Mn 0.224 0.224 0.500
Mn 0.124 0.374 0.250
Mn 0.179 0.821 0.888
Mn 0.374 0.124 0.750
Mn 0.600 0.400 0.568
Mn 0.400 0.600 0.432
Mn 0.258 0.476 0.750
Mn 0.600 0.400 0.932
Mn 0.742 0.524 0.250
Mn 0.776 0.776 0.000
Mn 0.876 0.626 0.750
Mn 0.476 0.258 0.250
Mn 0.400 0.600 0.068
Mn 0.626 0.876 0.250
Mn 0.776 0.776 0.500
Mn 0.524 0.742 0.750
Mn 0.224 0.224 0.000
Mn 0.821 0.179 0.112
Mn 0.179 0.821 0.612
Mn 0.821 0.179 0.388
La 0.125 0.875 0.250
La 0.875 0.125 0.750
Si 0.000 0.500 0.500
Si 0.500 0.000 0.500
Si 0.000 0.500 0.000
Si 0.500 0.000 0.000